# Ca2CoAsIr | Alexandria | PBE-GGA | relaxed
data_Ca2CoAsIr
_cell_length_a 5.4643
_cell_length_b 5.4643
_cell_length_c 4.2633
_cell_angle_alpha 90.00
_cell_angle_beta 90.00
_cell_angle_gamma 90.00
_space_group_name_H-M_alt 'P 4/m m m'
_space_group_IT_number 123
_space_group_name_Hall '-P 4 2'
loop_
_atom_site_label
_atom_site_type_symbol
_atom_site_fract_x
_atom_site_fract_y
_atom_site_fract_z
_atom_site_occupancy
Ca1 Ca 0.0000 0.5000 0.0000 1
Co1 Co 0.0000 0.0000 0.5000 1
As1 As 0.0000 0.0000 0.0000 1
Ir1 Ir 0.5000 0.5000 0.5000 1
# V = 25.46 Å³/atom
# total moment = 2.6 Bohr magnetons per cell
# formation energy = 304 meV per atom
# total DFT energy (no corrections) = -4.620 eV/atom

---

# CaCoAs2Ir | Alexandria | PBE-GGA | relaxed
data_CaCoAs2Ir
_cell_length_a 3.9440
_cell_length_b 3.9440
_cell_length_c 11.7773
_cell_angle_alpha 90.00
_cell_angle_beta 90.00
_cell_angle_gamma 90.00
_space_group_name_H-M_alt 'I -4 m 2'
_space_group_IT_number 119
_space_group_name_Hall 'I -4 -2'
loop_
_atom_site_label
_atom_site_type_symbol
_atom_site_fract_x
_atom_site_fract_y
_atom_site_fract_z
_atom_site_occupancy
Ca1 Ca 0.0000 0.0000 0.0000 1
Co1 Co 0.0000 0.5000 0.2500 1
As1 As 0.0000 0.0000 0.3688 1
Ir1 Ir 0.0000 0.5000 0.7500 1
# V = 18.32 Å³/atom
# total moment = 0.0 Bohr magnetons per cell
# formation energy = -562 meV per atom
# total DFT energy (no corrections) = -6.016 eV/atom

---

# Ca2CoNi3As4 | Alexandria | PBE-GGA | relaxed
data_Ca2CoNi3As4
_cell_length_a 4.1324
_cell_length_b 4.1324
_cell_length_c 9.7006
_cell_angle_alpha 90.00
_cell_angle_beta 90.00
_cell_angle_gamma 90.00
_space_group_name_H-M_alt 'P -4 m 2'
_space_group_IT_number 115
_space_group_name_Hall 'P -4 -2'
loop_
_atom_site_label
_atom_site_type_symbol
_atom_site_fract_x
_atom_site_fract_y
_atom_site_fract_z
_atom_site_occupancy
Ca1 Ca 0.0000 0.5000 0.2481 1
Co1 Co 0.5000 0.5000 0.0000 1
Ni1 Ni 0.0000 0.0000 0.0000 1
Ni2 Ni 0.0000 0.5000 0.6251 1
As1 As 0.0000 0.0000 0.5000 1
As2 As 0.0000 0.5000 0.8690 1
As3 As 0.5000 0.5000 0.5000 1
# V = 16.57 Å³/atom
# total moment = 1.3 Bohr magnetons per cell
# formation energy = -637 meV per atom
# total DFT energy (no corrections) = -5.342 eV/atom